# PmPrGaBr

Crystalline PmPrGaBr at its relaxed geometry (PBE, the Alexandria database).

Cell lengths 5.327, 5.327, 5.327 Å; angles 60.00, 60.00, 60.00 degrees
Fractional positions:
1 Pr 0.500 0.500 0.500
2 Pm 0.000 0.000 0.000
3 Br 0.250 0.250 0.250
4 Ga 0.750 0.750 0.750

Computed properties:
raw total energy = -4.237 eV per atom
magnetic moment = 0.0000 μB per atom
DOS at the Fermi energy = 3.1 states/eV per cell
E_form (uncorrected) = -680 meV/atom
ρ = 6.8 g cm⁻³